Below is HfNbZnW2 at its PBEsol-relaxed geometry, with properties calculated at the meta-GGA SCAN level.

Lattice parameters (Å, degrees): 4.552 4.552 4.655 90.00 90.00 90.00
Positions (direct):
Hf1 0.000 0.000 0.000
Nb1 0.500 0.500 0.000
Zn1 0.000 0.000 0.500
W1 0.000 0.500 0.500
W2 0.500 0.000 0.500

## Properties
Its space-group type is P4/mmm (123). As for the crystal system: tetragonal. Its formation energy is 1.52 eV per atom.